No. 1
La2TaAu: optimized geometry, PBE-GGA.

Properties
calculated formation energy	0.146	eV/atom

a b c (Å): 5.3199 5.3199 5.3199
angles (deg): 60.00 60.00 60.00
Positions (direct):
La: 0.7500 0.7500 0.7500
Ta: 0.0000 0.0000 0.0000
La: 0.2500 0.2500 0.2500
Au: 0.5000 0.5000 0.5000



No. 2
NdThAlIn: optimized geometry, PBE-GGA.

Properties
calculated formation energy	-0.260	eV/atom

a b c (Å): 5.3897 5.3897 5.3897
angles (deg): 60.00 60.00 60.00
Positions (direct):
Nd: 0.2500 0.2500 0.2500
Al: 0.5000 0.5000 0.5000
In: 0.0000 0.0000 0.0000
Th: 0.7500 0.7500 0.7500



No. 3
NaCr2Sb2: optimized geometry, PBE-GGA.

Properties
E_tot	-5.553	eV/atom

a b c (Å): 4.9114 4.9114 5.5501
angles (deg): 63.74 63.74 90.00
Positions (direct):
Sb: 0.2500 0.7500 0.5000
Cr: 0.3941 0.3941 0.2118
Na: 0.0000 0.0000 0.0000
Sb: 0.7500 0.2500 0.5000
Cr: 0.6059 0.6059 0.7882